[1]
Density functional theory data (PBE-GGA) for an optimized crystal structure of Pr12Nd6In.

Computed properties:
DFT total energy = -4.62 eV per atom
V = 35.6 Å³ per atom
energy relative to the elements = 5.0 kJ/mol of atoms
total moment = 0.0002 μB per atom

Cell lengths 12.2833, 12.2833, 15.5479 Å; angles 90.00, 90.00, 120.00 degrees
With the nearest neighbours (Å) after each atom.
Space group R-3 (No. 148, hexagonal axes)
Inequivalent atoms, fractional coordinates:
Pr (0.0070, 0.1755, 0.3142) (multiplicity 18)  4 Nd 3.54-3.80, 1 In 3.58, 5 Pr 3.63-3.95
Pr (0.0489, 0.8486, 0.9163) (multiplicity 18)  4 Pr 3.42-3.76, 3 Nd 3.45-3.58
Nd (0.0202, 0.4295, 0.1880) (multiplicity 18)  7 Pr 3.45-3.80, 1 In 3.49, 2 Nd 3.54
In (0.0000, 0.0000, 0.5000) (multiplicity 3)  6 Nd 3.49, 6 Pr 3.58


[2]
Density functional theory data (PBE-GGA) for an optimized crystal structure of MnZnCrS4.

Computed properties:
energy relative to the elements, uncorrected = -0.670 eV/atom
DFT total energy = -5.90 eV per atom
V = 18.2 Å³ per atom
total moment = 0.9661 μB per atom

Cell lengths 7.0800, 7.1430, 10.0635 Å; angles 90.00, 90.00, 90.00 degrees
With the nearest neighbours (Å) after each atom.
Space group Imma (No. 74)
Inequivalent atoms, fractional coordinates:
Mn (0.2500, 0.2500, 0.2500) (multiplicity 4)  6 S 2.42-2.44
Zn (0.0000, 0.2500, 0.6281) (multiplicity 4)  4 S 2.34-2.36
Cr (0.0000, 0.0000, 0.0000) (multiplicity 4)  6 S 2.40-2.41
S (0.0000, 0.0189, 0.2386) (multiplicity 8)  1 Zn 2.34, 1 Cr 2.40, 2 Mn 2.42
S (0.2287, 0.2500, 0.0078) (multiplicity 8)  1 Zn 2.36, 2 Cr 2.41, 1 Mn 2.44